(1)
# TbDyZr2N4, relaxed, DFT PBE-GGA
data_TbDyZr2N4
_cell_length_a 5.794
_cell_length_b 3.350
_cell_length_c 5.860
_cell_angle_alpha 90.00
_cell_angle_beta 109.31
_cell_angle_gamma 90.00
_space_group_name_H-M_alt 'P 1 2/m 1'
_space_group_IT_number 10
_space_group_name_Hall '-P 2y'
loop_
_atom_site_label
_atom_site_type_symbol
_atom_site_fract_x
_atom_site_fract_y
_atom_site_fract_z
Tb1 Tb 0.000 0.000 0.000
Dy1 Dy 0.500 0.500 0.000
Zr1 Zr 0.000 0.500 0.500
Zr2 Zr 0.500 0.000 0.500
N1 N 0.245 0.000 0.732
N2 N 0.257 0.500 0.269
# formation energy without anion corrections = -13.74 eV/f.u.

(2)
# Sr2YCd2, relaxed, DFT PBE-GGA
data_Sr2YCd2
_cell_length_a 4.173
_cell_length_b 4.173
_cell_length_c 21.745
_cell_angle_alpha 90.00
_cell_angle_beta 90.00
_cell_angle_gamma 90.00
_space_group_name_H-M_alt 'I 4/m m m'
_space_group_IT_number 139
_space_group_name_Hall '-I 4 2'
loop_
_atom_site_label
_atom_site_type_symbol
_atom_site_fract_x
_atom_site_fract_y
_atom_site_fract_z
Sr1 Sr 0.000 0.000 0.117
Y1 Y 0.000 0.000 0.500
Cd1 Cd 0.000 0.500 0.250
# energy relative to the elements = 86 meV/atom
# relative energy among the computed polymorphs = 251 meV/atom